This record from the Alexandria database describes a geometry-optimized MgBeP2Cl structure. The functional is PBE.

As for the crystal system: tetragonal. The value obtained for the formation energy (no corrections) is 4.47 eV per formula unit. The value obtained for the excess energy over the best structure of this formula in the dataset is 0.787 eV per atom.

The space group is P4/mmm (No. 123) and the conventional cell measures 4.8975, 4.8975 and 4.7261 Å, with angles of 90.00, 90.00 and 90.00 degrees. The distinct sites, in fractional coordinates, are Mg at (0.0000, 0.0000, 0.0000), Be at (0.5000, 0.5000, 0.5000), P at (0.0000, 0.5000, 0.0000) and Cl at (0.0000, 0.0000, 0.5000).


This record from the Alexandria database describes a geometry-optimized Mg2AuF structure. The functional is PBE.

As for the crystal system: tetragonal. The value obtained for the formation energy (no corrections) is -5.47 eV per formula unit. The value obtained for the excess energy over the best structure of this formula in the dataset is 0.000 eV per atom.

The space group is I-42d (No. 122) and the conventional cell measures 6.2771, 6.2771 and 6.8819 Å, with angles of 90.00, 90.00 and 90.00 degrees. The distinct sites, in fractional coordinates, are Mg at (0.1782, 0.2500, 0.1250), Au at (0.0000, 0.0000, 0.5000) and F at (0.0000, 0.0000, 0.0000).


This record from the Alexandria database describes a geometry-optimized Sm4TmIn4 structure. The functional is PBE.

Its formation energy from the elements is -2.6 eV/f.u. As for the crystal system: tetragonal.

The space group is P4_2/n (No. 86, origin choice 2) and the conventional cell measures 9.1824, 9.1824 and 6.1790 Å, with angles of 90.00, 90.00 and 90.00 degrees. The distinct sites, in fractional coordinates, are Sm at (0.0803, 0.8221, 0.1217), Tm at (0.2500, 0.2500, 0.7500) and In at (0.0492, 0.1515, 0.3671).


This record from the Alexandria database describes a geometry-optimized LiMgPb2 structure. The functional is PBE.

Its formation energy from the elements is -0.5 eV/f.u. As for the crystal system: trigonal.

The space group is R3m (No. 160, hexagonal axes) and the conventional cell measures 3.5554, 3.5554 and 27.7628 Å, with angles of 90.00, 90.00 and 120.00 degrees. The distinct sites, in fractional coordinates, are Li at (0.0000, 0.0000, 0.0000), Mg at (0.0000, 0.0000, 0.8337), Pb at (0.0000, 0.0000, 0.4148) and Pb at (0.0000, 0.0000, 0.5857).


Volume / Å³/f.u.: 113.36, 67.79, 260.50, 101.31
Electronic total energy / eV/atom: -2.704, -3.452, -4.095, -2.851